[1]
Here is a relaxed PrGd4Dy crystal from Alexandria via LeMat-Bulk. Energies are from PBE.

Properties
* energy of formation from the pure elements: 0.26 eV per atom
* spin magnetization: 28.7 μB/f.u.

a b c (Å): 6.6234 6.6234 6.6234
angles (deg): 60.00 60.00 60.00
Sites, in units of the cell vectors:
Pr (0.0000, 0.0000, 0.0000)
Gd (0.1262, 0.6246, 0.6246)
Gd (0.6246, 0.1262, 0.6246)
Gd (0.6246, 0.6246, 0.1262)
Gd (0.6246, 0.6246, 0.6246)
Dy (0.2500, 0.2500, 0.2500)

---

[2]
Here is a relaxed AcPr5Tl3 crystal from Alexandria via LeMat-Bulk. Energies are from PBE.

Properties
* energy of formation from the pure elements: -0.25 eV per atom
* spin magnetization: 1.8 μB/f.u.

a b c (Å): 9.7966 9.7966 7.1215
angles (deg): 90.00 90.00 120.00
Sites, in units of the cell vectors:
Ac (0.0000, 0.0000, 0.0000)
Ac (0.0000, 0.0000, 0.5000)
Pr (0.0000, 0.3372, 0.2500)
Pr (0.0000, 0.6628, 0.7500)
Pr (0.3333, 0.6667, 0.0000)
Pr (0.3333, 0.6667, 0.5000)
Pr (0.3372, 0.0000, 0.2500)
Pr (0.3372, 0.3372, 0.7500)
Pr (0.6628, 0.0000, 0.7500)
Pr (0.6628, 0.6628, 0.2500)
Pr (0.6667, 0.3333, 0.0000)
Pr (0.6667, 0.3333, 0.5000)
Tl (0.0000, 0.3349, 0.7500)
Tl (0.0000, 0.6651, 0.2500)
Tl (0.3349, 0.0000, 0.7500)
Tl (0.3349, 0.3349, 0.2500)
Tl (0.6651, 0.0000, 0.2500)
Tl (0.6651, 0.6651, 0.7500)